The following is a PBE-GGA calculation of an optimized crystal structure of YSb3S6, from Alexandria.

Energy above the most stable polymorph in this dataset: 191 meV/atom
Mass density: 4.1 g/cm³
Fermi-level density of states: 2.69 states/eV/cell

Unit cell a=8.2985 b=8.2985 c=3.9905 alpha=90.00 beta=90.00 gamma=109.31
Last column: nearest neighbours and their distance in Å.
Sites, in units of the cell vectors:
Y 0.0000 0.0000 0.0000  4 S 2.81
Sb 0.0000 0.5000 0.5000  6 S 2.69-2.78
Sb 0.5000 0.0000 0.5000  6 S 2.69-2.78
Sb 0.5000 0.5000 0.0000  4 S 2.63
S 0.1466 0.8534 0.5000  2 Sb 2.78, 2 Y 2.81
S 0.1647 0.4024 0.0000  3 Sb 2.63-2.69
S 0.4024 0.1647 0.0000  3 Sb 2.63-2.69
S 0.5976 0.8353 0.0000  3 Sb 2.63-2.69
S 0.8353 0.5976 0.0000  3 Sb 2.63-2.69
S 0.8534 0.1466 0.5000  2 Sb 2.78, 2 Y 2.81